Record 1
Here is crystalline KTl5 at its relaxed geometry from Alexandria via LeMat-Bulk. Energies are from GGA-PBE.

Its crystal system is orthorhombic. Its space group is Cmmm. For the energy above the most stable polymorph in this dataset, the calculation gives 0.00 eV/f.u.

The structure in CIF format:
```
data_KTl5
_chemical_formula_sum 'K1 Tl5'
_symmetry_space_group_name_H-M 'P 1'
_symmetry_Int_Tables_number 1
_cell_length_a 7.601
_cell_length_b 7.601
_cell_length_c 5.171
_cell_angle_alpha 90.00
_cell_angle_beta 90.00
_cell_angle_gamma 140.13
loop_
_symmetry_equiv_pos_as_xyz
'x,y,z'
loop_
_atom_site_label
_atom_site_type_symbol
_atom_site_fract_x
_atom_site_fract_y
_atom_site_fract_z
_atom_site_occupancy
K1 K 0.972 0.028 0.000 1
Tl1 Tl 0.798 0.202 0.500 1
Tl2 Tl 0.146 0.854 0.500 1
Tl3 Tl 0.648 0.352 0.000 1
Tl4 Tl 0.297 0.703 0.000 1
Tl5 Tl 0.472 0.528 0.500 1
```

=====

Record 2
Here is crystalline KTl12 at its relaxed geometry from Alexandria via LeMat-Bulk. Energies are from GGA-PBE.

Its crystal system is tetragonal. Its space group is I4/mmm. For the energy above the most stable polymorph in this dataset, the calculation gives 0.00 eV/f.u.

The structure in CIF format:
```
data_KTl12
_chemical_formula_sum 'K1 Tl12'
_symmetry_space_group_name_H-M 'P 1'
_symmetry_Int_Tables_number 1
_cell_length_a 6.615
_cell_length_b 8.687
_cell_length_c 8.687
_cell_angle_alpha 81.67
_cell_angle_beta 67.62
_cell_angle_gamma 67.62
loop_
_symmetry_equiv_pos_as_xyz
'x,y,z'
loop_
_atom_site_label
_atom_site_type_symbol
_atom_site_fract_x
_atom_site_fract_y
_atom_site_fract_z
_atom_site_occupancy
Tl1 Tl 0.500 0.786 0.214 1
K1 K 0.000 0.000 0.000 1
Tl2 Tl 0.714 0.786 0.786 1
Tl3 Tl 0.500 0.500 0.000 1
Tl4 Tl 0.000 0.643 0.357 1
Tl5 Tl 0.500 0.214 0.786 1
Tl6 Tl 0.286 0.214 0.214 1
Tl7 Tl 0.000 0.357 0.643 1
Tl8 Tl 0.643 0.357 0.357 1
Tl9 Tl 0.000 0.000 0.500 1
Tl10 Tl 0.357 0.643 0.643 1
Tl11 Tl 0.000 0.500 0.000 1
Tl12 Tl 0.500 0.000 0.500 1
```

=====

Record 3
Here is crystalline KTl at its relaxed geometry from Alexandria via LeMat-Bulk. Energies are from GGA-PBE.

Its crystal system is orthorhombic. Its space group is Pmmn.

The structure in CIF format:
```
data_KTl
_chemical_formula_sum 'K6 Tl6'
_symmetry_space_group_name_H-M 'P 1'
_symmetry_Int_Tables_number 1
_cell_length_a 4.064
_cell_length_b 6.063
_cell_length_c 20.067
_cell_angle_alpha 90.00
_cell_angle_beta 90.00
_cell_angle_gamma 90.00
loop_
_symmetry_equiv_pos_as_xyz
'x,y,z'
loop_
_atom_site_label
_atom_site_type_symbol
_atom_site_fract_x
_atom_site_fract_y
_atom_site_fract_z
_atom_site_occupancy
K1 K 0.500 0.754 0.500 1
Tl1 Tl 0.000 0.748 0.877 1
K2 K 0.000 0.751 0.313 1
K3 K 0.000 0.246 0.000 1
Tl2 Tl 0.000 0.748 0.123 1
Tl3 Tl 0.000 0.255 0.500 1
Tl4 Tl 0.500 0.745 0.000 1
K4 K 0.500 0.249 0.813 1
K5 K 0.000 0.751 0.687 1
K6 K 0.500 0.249 0.187 1
Tl5 Tl 0.500 0.252 0.377 1
Tl6 Tl 0.500 0.252 0.623 1
```

=====

Record 4
Here is crystalline KTl at its relaxed geometry from Alexandria via LeMat-Bulk. Energies are from GGA-PBE.

Its crystal system is monoclinic. Its space group is Cm.

The structure in CIF format:
```
data_KTl
_chemical_formula_sum 'K3 Tl3'
_symmetry_space_group_name_H-M 'P 1'
_symmetry_Int_Tables_number 1
_cell_length_a 7.546
_cell_length_b 7.546
_cell_length_c 8.482
_cell_angle_alpha 72.29
_cell_angle_beta 72.29
_cell_angle_gamma 31.15
loop_
_symmetry_equiv_pos_as_xyz
'x,y,z'
loop_
_atom_site_label
_atom_site_type_symbol
_atom_site_fract_x
_atom_site_fract_y
_atom_site_fract_z
_atom_site_occupancy
K1 K 0.656 0.656 0.234 1
Tl1 Tl 0.307 0.307 0.841 1
K2 K 0.940 0.940 0.064 1
Tl2 Tl 0.962 0.962 0.570 1
Tl3 Tl 0.331 0.331 0.427 1
K3 K 0.638 0.638 0.697 1
```

=====

Record 5
Here is crystalline KTl at its relaxed geometry from Alexandria via LeMat-Bulk. Energies are from GGA-PBE.

Its crystal system is orthorhombic. Its space group is Cmmm.

The structure in CIF format:
```
data_KTl
_chemical_formula_sum 'K1 Tl1'
_symmetry_space_group_name_H-M 'P 1'
_symmetry_Int_Tables_number 1
_cell_length_a 3.820
_cell_length_b 3.820
_cell_length_c 5.346
_cell_angle_alpha 90.00
_cell_angle_beta 90.00
_cell_angle_gamma 95.76
loop_
_symmetry_equiv_pos_as_xyz
'x,y,z'
loop_
_atom_site_label
_atom_site_type_symbol
_atom_site_fract_x
_atom_site_fract_y
_atom_site_fract_z
_atom_site_occupancy
Tl1 Tl 0.500 0.500 0.500 1
K1 K 0.000 0.000 0.000 1
```

=====

Record 6
Here is crystalline K6Tl23 at its relaxed geometry from Alexandria via LeMat-Bulk. Energies are from GGA-PBE.

Its crystal system is cubic. Its space group is Fm-3m.

The structure in CIF format:
```
data_K6Tl23
_chemical_formula_sum 'K6 Tl23'
_symmetry_space_group_name_H-M 'P 1'
_symmetry_Int_Tables_number 1
_cell_length_a 11.288
_cell_length_b 11.288
_cell_length_c 11.288
_cell_angle_alpha 60.00
_cell_angle_beta 60.00
_cell_angle_gamma 60.00
loop_
_symmetry_equiv_pos_as_xyz
'x,y,z'
loop_
_atom_site_label
_atom_site_type_symbol
_atom_site_fract_x
_atom_site_fract_y
_atom_site_fract_z
_atom_site_occupancy
K1 K 0.214 0.786 0.786 1
Tl1 Tl 0.510 0.830 0.830 1
Tl2 Tl 0.170 0.170 0.170 1
Tl3 Tl 0.500 0.000 0.500 1
K2 K 0.786 0.214 0.214 1
Tl4 Tl 0.377 0.377 0.377 1
Tl5 Tl 0.170 0.490 0.170 1
Tl6 Tl 0.500 0.000 0.000 1
Tl7 Tl 0.000 0.000 0.500 1
K3 K 0.786 0.786 0.214 1
Tl8 Tl 0.131 0.623 0.623 1
Tl9 Tl 0.830 0.510 0.830 1
Tl10 Tl 0.623 0.623 0.623 1
Tl11 Tl 0.490 0.170 0.170 1
K4 K 0.214 0.214 0.786 1
Tl12 Tl 0.869 0.377 0.377 1
Tl13 Tl 0.623 0.131 0.623 1
Tl14 Tl 0.377 0.377 0.869 1
Tl15 Tl 0.830 0.830 0.830 1
Tl16 Tl 0.000 0.500 0.500 1
Tl17 Tl 0.830 0.830 0.510 1
Tl18 Tl 0.500 0.500 0.500 1
K5 K 0.786 0.214 0.786 1
Tl19 Tl 0.623 0.623 0.131 1
Tl20 Tl 0.170 0.170 0.490 1
Tl21 Tl 0.000 0.500 0.000 1
Tl22 Tl 0.500 0.500 0.000 1
Tl23 Tl 0.377 0.869 0.377 1
K6 K 0.214 0.786 0.214 1
```

=====

Record 7
Here is crystalline KTl at its relaxed geometry from Alexandria via LeMat-Bulk. Energies are from GGA-PBE.

Its crystal system is monoclinic. Its space group is P2_1/m.

The structure in CIF format:
```
data_KTl
_chemical_formula_sum 'K2 Tl2'
_symmetry_space_group_name_H-M 'P 1'
_symmetry_Int_Tables_number 1
_cell_length_a 5.485
_cell_length_b 4.465
_cell_length_c 7.203
_cell_angle_alpha 71.88
_cell_angle_beta 90.00
_cell_angle_gamma 90.00
loop_
_symmetry_equiv_pos_as_xyz
'x,y,z'
loop_
_atom_site_label
_atom_site_type_symbol
_atom_site_fract_x
_atom_site_fract_y
_atom_site_fract_z
_atom_site_occupancy
K1 K 0.500 0.718 0.691 1
K2 K 0.000 0.032 0.059 1
Tl1 Tl 0.500 0.430 0.265 1
Tl2 Tl 0.000 0.320 0.485 1
```

=====

Record 8
Here is crystalline K6Tl7 at its relaxed geometry from Alexandria via LeMat-Bulk. Energies are from GGA-PBE.

Its crystal system is trigonal. Its space group is R-3m.

The structure in CIF format:
```
data_K6Tl7
_chemical_formula_sum 'K6 Tl7'
_symmetry_space_group_name_H-M 'P 1'
_symmetry_Int_Tables_number 1
_cell_length_a 6.889
_cell_length_b 6.889
_cell_length_c 12.753
_cell_angle_alpha 74.33
_cell_angle_beta 74.33
_cell_angle_gamma 60.00
loop_
_symmetry_equiv_pos_as_xyz
'x,y,z'
loop_
_atom_site_label
_atom_site_type_symbol
_atom_site_fract_x
_atom_site_fract_y
_atom_site_fract_z
_atom_site_occupancy
Tl1 Tl 0.092 0.092 0.226 1
K1 K 0.554 0.554 0.337 1
Tl2 Tl 0.908 0.409 0.774 1
K2 K 0.832 0.832 0.503 1
K3 K 0.346 0.346 0.962 1
Tl3 Tl 0.409 0.908 0.774 1
Tl4 Tl 0.000 0.000 0.000 1
K4 K 0.654 0.654 0.038 1
K5 K 0.446 0.446 0.663 1
K6 K 0.168 0.168 0.497 1
Tl5 Tl 0.092 0.591 0.226 1
Tl6 Tl 0.591 0.092 0.226 1
Tl7 Tl 0.908 0.908 0.774 1
```

=====

Record 9
Here is crystalline K8Tl at its relaxed geometry from Alexandria via LeMat-Bulk. Energies are from GGA-PBE.

Its crystal system is tetragonal. Its space group is I4/mmm.

The structure in CIF format:
```
data_K8Tl
_chemical_formula_sum 'K8 Tl1'
_symmetry_space_group_name_H-M 'P 1'
_symmetry_Int_Tables_number 1
_cell_length_a 9.995
_cell_length_b 9.995
_cell_length_c 9.995
_cell_angle_alpha 95.40
_cell_angle_beta 95.40
_cell_angle_gamma 144.28
loop_
_symmetry_equiv_pos_as_xyz
'x,y,z'
loop_
_atom_site_label
_atom_site_type_symbol
_atom_site_fract_x
_atom_site_fract_y
_atom_site_fract_z
_atom_site_occupancy
K1 K 0.681 0.000 0.681 1
K2 K 0.651 0.651 0.303 1
K3 K 0.000 0.319 0.319 1
K4 K 0.000 0.681 0.681 1
K5 K 0.319 0.000 0.319 1
K6 K 0.349 0.651 0.000 1
K7 K 0.651 0.349 0.000 1
Tl1 Tl 0.000 0.000 0.000 1
K8 K 0.349 0.349 0.697 1
```

=====

Record 10
Here is crystalline KTl at its relaxed geometry from Alexandria via LeMat-Bulk. Energies are from GGA-PBE.

Its crystal system is hexagonal. Its space group is P6_3/mmc.

The structure in CIF format:
```
data_KTl
_chemical_formula_sum 'K4 Tl4'
_symmetry_space_group_name_H-M 'P 1'
_symmetry_Int_Tables_number 1
_cell_length_a 5.473
_cell_length_b 5.473
_cell_length_c 12.380
_cell_angle_alpha 90.00
_cell_angle_beta 90.00
_cell_angle_gamma 120.00
loop_
_symmetry_equiv_pos_as_xyz
'x,y,z'
loop_
_atom_site_label
_atom_site_type_symbol
_atom_site_fract_x
_atom_site_fract_y
_atom_site_fract_z
_atom_site_occupancy
Tl1 Tl 0.000 0.000 0.750 1
Tl2 Tl 0.667 0.333 0.750 1
K1 K 0.667 0.333 0.411 1
Tl3 Tl 0.000 0.000 0.250 1
K2 K 0.667 0.333 0.089 1
K3 K 0.333 0.667 0.911 1
Tl4 Tl 0.333 0.667 0.250 1
K4 K 0.333 0.667 0.589 1
```

=====

Record 11
Here is crystalline KTl5 at its relaxed geometry from Alexandria via LeMat-Bulk. Energies are from GGA-PBE.

Its crystal system is cubic. Its space group is F-43m. For the energy above the most stable polymorph in this dataset, the calculation gives 0.11 eV/f.u.

The structure in CIF format:
```
data_KTl5
_chemical_formula_sum 'K1 Tl5'
_symmetry_space_group_name_H-M 'P 1'
_symmetry_Int_Tables_number 1
_cell_length_a 6.588
_cell_length_b 6.588
_cell_length_c 6.588
_cell_angle_alpha 60.00
_cell_angle_beta 60.00
_cell_angle_gamma 60.00
loop_
_symmetry_equiv_pos_as_xyz
'x,y,z'
loop_
_atom_site_label
_atom_site_type_symbol
_atom_site_fract_x
_atom_site_fract_y
_atom_site_fract_z
_atom_site_occupancy
Tl1 Tl 0.873 0.376 0.376 1
Tl2 Tl 0.376 0.376 0.376 1
K1 K 0.000 0.000 0.000 1
Tl3 Tl 0.376 0.873 0.376 1
Tl4 Tl 0.750 0.750 0.750 1
Tl5 Tl 0.376 0.376 0.873 1
```

=====

| no. | calculated total energy (eV/f.u.) | calculated formation energy (eV per atom) |
| --- | --- | --- |
| 1 | -13.2 | -0.050 |
| 2 | -29.6 | -0.005 |
| 3 | -3.6 | -0.057 |
| 4 | -3.6 | -0.081 |
| 5 | -3.4 | 0.011 |
| 6 | -63.0 | -0.068 |
| 7 | -3.6 | -0.065 |
| 8 | -24.3 | -0.088 |
| 9 | -11.0 | 0.012 |
| 10 | -3.6 | -0.080 |
| 11 | -13.1 | -0.032 |